(1)
Here is crystalline Na3Ti3CuTe8 at its relaxed geometry from Alexandria via LeMat-Bulk. Energies are from GGA-PBE.

The space group is C2/m (No. 12) and the conventional cell measures 13.702, 7.930 and 9.007 Å, with angles of 90.00, 120.45 and 90.00 degrees. The asymmetric unit holds Na at (0.000, 0.000, 0.000), Na at (0.250, 0.250, 0.000), Ti at (0.000, 0.500, 0.500), Ti at (0.250, 0.250, 0.500), Cu at (0.000, 0.000, 0.500), Te at (0.015, 0.252, 0.294), Te at (0.235, 0.000, 0.705) and Te at (0.238, 0.500, 0.712).

As for the energy: -4.4200 eV per atom. As for the volume: 28.1 Å³ per atom. The formation energy from raw total energies is -629 meV per atom.

(2)
Here is crystalline Zr2FeW at its relaxed geometry from Alexandria via LeMat-Bulk. Energies are from GGA-PBE.

The space group is Fm-3m (No. 225) and the conventional cell measures 6.554, 6.554 and 6.554 Å, with angles of 90.00, 90.00 and 90.00 degrees. The asymmetric unit holds Zr at (0.250, 0.250, 0.250), Fe at (0.000, 0.000, 0.000) and W at (0.000, 0.000, 0.500).

As for the energy: -9.5189 eV per atom. As for the volume: 17.6 Å³ per atom. As for the energy relative to the elements: 0.11 eV/atom. As for the polymorph energy (0 for the lowest one): 0.26 eV/f.u.